Crystalline ScSbRh at its relaxed geometry. Source: Alexandria via LeMat-Bulk, functional PBE-GGA.

E_form (uncorrected): -18.990 kcal/mol of atoms
electronic total energy: -6.759 eV/atom
SG: P3m1, No. 156

Unit cell a=4.526 b=4.526 c=3.245 alpha=90.00 beta=90.00 gamma=120.00
Fractional coordinates of all 3 atoms:
Sc  0.000  0.000  0.000
Sb  0.333  0.667  0.500
Rh  0.667  0.333  0.498



Crystalline TiOsRuS at its relaxed geometry. Source: Alexandria via LeMat-Bulk, functional PBE-GGA.

E_form (uncorrected): -7.156 kcal/mol of atoms
electronic total energy: -8.442 eV/atom
SG: Pm, No. 6
offset from the most stable computed form: 28 meV/atom

Unit cell a=4.456 b=2.904 c=4.532 alpha=90.00 beta=104.25 gamma=90.00
Fractional coordinates of all 4 atoms:
Ti  0.000  0.000  0.000
Os  0.527  0.500  0.134
Ru  0.392  0.000  0.605
S  0.961  0.500  0.544



Crystalline PuHfPt2 at its relaxed geometry. Source: Alexandria via LeMat-Bulk, functional PBE-GGA.

DFT formation energy: -806.0 meV/atom
electronic total energy: -9.898 eV/atom
SG: P4/mmm, No. 123
offset from the most stable computed form: 96 meV/atom

Unit cell a=5.149 b=5.149 c=2.964 alpha=90.00 beta=90.00 gamma=90.00
Fractional coordinates of all 4 atoms:
Pu  0.000  0.000  0.000
Hf  0.500  0.500  0.000
Pt  0.000  0.500  0.500
Pt  0.500  0.000  0.500



> The lowest electronic total energy belongs to which entry?

PuHfPt2



> Which value of electronic total energy does entry 3 give?

-9.898 eV/atom



> Which value of electronic total energy does entry 1 give?

-6.759 eV/atom



> Look up the electronic total energy of the third one.

-9.898 eV/atom